Computed, not measured: Ca2MgInRu after structural relaxation at the PBE-GGA level of DFT.

Cell: 5.672 5.672 4.978 Å, 90.00 90.00 90.00°
Positions (direct):
Ca1 0.000 0.500 0.000
Ca2 0.500 0.000 0.000
Mg1 0.000 0.000 0.000
In1 0.000 0.000 0.500
Ru1 0.500 0.500 0.500

Values from the calculation:
As for the crystal system: tetragonal. The value obtained for the volume is 32.025 Å³/atom. The total magnetization comes out at 1.84 μB per cell. The value obtained for the formation energy is 23.39 kcal/mol of atoms.

Computed, not measured: CaMgSc2In4 after structural relaxation at the PBE-GGA level of DFT.

Cell: 9.019 9.019 9.019 Å, 32.95 32.95 32.95°
Positions (direct):
Ca1 0.000 0.000 0.000
Mg1 0.500 0.500 0.500
Sc1 0.246 0.246 0.246
Sc2 0.754 0.754 0.754
In1 0.126 0.126 0.126
In2 0.377 0.377 0.377
In3 0.623 0.623 0.623
In4 0.874 0.874 0.874

Values from the calculation:
As for the crystal system: trigonal. The value obtained for the volume is 24.141 Å³/atom. The total magnetization comes out at 0.00 μB per cell. The value obtained for the formation energy is -6.83 kcal/mol of atoms.

Computed, not measured: CaMgScIn after structural relaxation at the PBE-GGA level of DFT.

Cell: 5.240 5.240 5.240 Å, 60.00 60.00 60.00°
Positions (direct):
Ca1 0.000 0.000 0.000
Mg1 0.750 0.750 0.750
Sc1 0.500 0.500 0.500
In1 0.250 0.250 0.250

Values from the calculation:
As for the crystal system: cubic. The value obtained for the volume is 25.434 Å³/atom. The total magnetization comes out at 0.00 μB per cell. The value obtained for the formation energy is -5.85 kcal/mol of atoms.